# InSnTe3

Crystalline InSnTe3 at its relaxed geometry (PBE-GGA, Alexandria).

```
10
Lattice="4.605 0.048 0.066 -2.368 6.422 -1.816 -0.058 1.679 10.937" Properties=species:S:1:pos:R:3 pbc="T T T"
Sn -0.011 6.130 4.804
Sn 2.190 2.019 4.384
Te -0.109 6.436 9.363
Te 2.288 1.713 -0.175
Te 2.240 6.829 6.705
Te -0.061 1.320 2.482
Te 2.282 4.686 3.106
Te -0.103 3.463 6.081
In -0.047 3.314 8.956
In 2.226 4.835 0.232
```

Values from the calculation:
E_tot ... -3.404 eV per atom
Polymorph energy (0 for the lowest one) ... 0.016 eV/atom
DOS(E_F) ... 4.60 states/eV per cell
Symmetry ... P-1 (2)
Formation energy without anion corrections ... -82 kJ/mol of formula units